VASP calculation (PBE) on a relaxed BaMnIn2 crystal.

Results
magnetic moment	16.77	Bohr magnetons per cell
crystal system	cubic
energy of formation	0.12	eV/atom

Unit cell a=7.696 b=7.696 c=7.696 alpha=90.00 beta=90.00 gamma=90.00
Space group Fm-3m (No. 225)
Unique sites:
1 Ba 0.000 0.000 0.000 [4 per cell]
2 Mn 0.000 0.000 0.500 [4 per cell]
3 In 0.250 0.250 0.250 [8 per cell]